# 1
# HgPb2W

HgPb2W after structural relaxation (PBE, the Alexandria database).

symmetry = Pmmm, No. 47
DFT total energy = -4.169 eV per atom

Unit cell a=3.2406 b=5.5616 c=5.2248 alpha=90.00 beta=90.00 gamma=90.00
Sites, in units of the cell vectors:
Hg 0.0000 0.5000 0.5000
Pb 0.5000 0.5000 0.0000
Pb 0.0000 0.0000 0.0000
W 0.5000 0.0000 0.5000

***

# 2
# CaLa4Ru

CaLa4Ru after structural relaxation (PBE, the Alexandria database).

relative energy among the computed polymorphs = 0.0714 eV per atom
symmetry = C2/c, No. 15

Unit cell a=6.5798 b=9.9892 c=8.9153 alpha=116.58 beta=101.41 gamma=107.80
Sites, in units of the cell vectors:
La 0.5638 0.2434 0.1354
La 0.7253 0.0704 0.4322
La 0.7932 0.6382 0.5678
La 0.0716 0.8919 0.1354
La 0.2747 0.9296 0.5678
La 0.4362 0.7566 0.8646
La 0.2068 0.3618 0.4322
La 0.9284 0.1081 0.8646
Ca 0.3406 0.5906 0.1811
Ca 0.6594 0.4094 0.8189
Ru 0.8303 0.0803 0.1607
Ru 0.1697 0.9197 0.8393

***

# 3
# La4Tb2PmMg

La4Tb2PmMg after structural relaxation (PBE, the Alexandria database).

symmetry = Pmmm, No. 47
DFT total energy = -4.372 eV per atom

Unit cell a=5.8959 b=5.9014 c=9.8218 alpha=53.05 beta=90.00 gamma=90.00
Sites, in units of the cell vectors:
La 0.0000 0.7339 0.7664
La 0.5000 0.7645 0.2352
La 0.5000 0.2355 0.7648
La 0.0000 0.2661 0.2336
Mg 0.5000 0.5000 0.0000
Tb 0.5000 0.0000 0.5000
Tb 0.0000 0.0000 0.0000
Pm 0.0000 0.5000 0.5000

***

# 4
# Sc2Be

Sc2Be after structural relaxation (PBE, the Alexandria database).

relative energy among the computed polymorphs = 0.0322 eV per atom
symmetry = Cmcm, No. 63

Unit cell a=7.5574 b=7.5574 c=4.6471 alpha=90.00 beta=90.00 gamma=155.10
Sites, in units of the cell vectors:
Be 0.0704 0.9296 0.2500
Be 0.9296 0.0704 0.7500
Sc 0.2822 0.7178 0.7500
Sc 0.5777 0.4223 0.7500
Sc 0.4223 0.5777 0.2500
Sc 0.7178 0.2822 0.2500

***

# 5
# NiSn2Au2

NiSn2Au2 after structural relaxation (PBE, the Alexandria database).

relative energy among the computed polymorphs = 0.2158 eV per atom
symmetry = P4/mbm, No. 127

Unit cell a=6.9793 b=6.9793 c=4.2735 alpha=90.00 beta=90.00 gamma=90.00
Sites, in units of the cell vectors:
Ni 0.5000 0.5000 0.0000
Ni 0.0000 0.0000 0.0000
Sn 0.8308 0.6692 0.0000
Sn 0.3308 0.8308 0.0000
Sn 0.1692 0.3308 0.0000
Sn 0.6692 0.1692 0.0000
Au 0.1435 0.6435 0.5000
Au 0.8565 0.3565 0.5000
Au 0.3565 0.1435 0.5000
Au 0.6435 0.8565 0.5000

***

# 6
# Th4FeBr5

Th4FeBr5 after structural relaxation (PBE, the Alexandria database).

formation energy (no corrections) = -11.44 eV per formula unit
symmetry = C2/m, No. 12

Unit cell a=3.7911 b=8.9341 c=9.2327 alpha=98.57 beta=101.85 gamma=90.00
Sites, in units of the cell vectors:
Th 0.9987 0.7975 0.9974
Th 0.6675 0.0495 0.3350
Th 0.0013 0.2025 0.0026
Th 0.3325 0.9505 0.6650
Br 0.8332 0.6796 0.6664
Br 0.8334 0.2239 0.6668
Br 0.1666 0.7761 0.3332
Br 0.1668 0.3204 0.3336
Br 0.5000 0.5000 0.0000
Fe 0.5000 0.0000 0.0000

***

no.,V (Å³/f.u.)
1,94.2
2,229.4
3,273.1
4,55.9
5,104.1
6,302.5